# KFe2Br, relaxed, DFT PBE
# Offset from the most stable computed form ... 0.4203 eV/atom
# Uncorrected formation energy ... 0.6245 eV/atom
# Magnetic moment ... 6.5 μB per formula unit
# Space group ... No. 12
data_KFe2Br
_cell_length_a 7.0947
_cell_length_b 7.0947
_cell_length_c 3.3613
_cell_angle_alpha 76.24
_cell_angle_beta 76.24
_cell_angle_gamma 132.70
_symmetry_space_group_name_H-M 'P 1'
_symmetry_Int_Tables_number 1
_symmetry_space_group_name_Hall 'P 1'
loop_
_atom_site_label
_atom_site_type_symbol
_atom_site_fract_x
_atom_site_fract_y
_atom_site_fract_z
_atom_site_occupancy
K1 K 0.5000 0.0000 0.5000 1
Fe1 Fe 0.0000 0.0000 0.0000 1
Fe2 Fe 0.5000 0.5000 0.0000 1
Br1 Br 0.0000 0.5000 0.5000 1